1.
Material: HfSnPt3
Method: DFT, PBE
State: relaxed

Output
D(E_F) (states/eV/f.u.): 3.88
Space group: Pm-3m, No. 221

Cell: 4.8609 4.8609 4.8609 Å, 90.00 90.00 90.00°
Last column: nearest neighbours and their distance in Å.
Fractional coordinates of all 5 atoms:
Sn  0.0000  0.0000  0.0000  6 Pt 2.43
Pt  0.0000  0.0000  0.5000  2 Sn 2.43
Pt  0.0000  0.5000  0.0000  2 Sn 2.43
Pt  0.5000  0.0000  0.0000  2 Sn 2.43
Hf  0.5000  0.5000  0.5000  12 Pt 3.44


2.
Material: ReTc2Ir
Method: DFT, PBE
State: relaxed

Output
D(E_F) (states/eV/f.u.): 3.62
Space group: I4/mmm, No. 139

Cell: 4.7533 4.7533 4.7533 Å, 131.79 131.79 70.56°
Last column: nearest neighbours and their distance in Å.
Fractional coordinates of all 4 atoms:
Re  0.7500  0.2500  0.5000  8 Tc 2.74, 4 Ir 2.75
Tc  0.0000  0.0000  0.0000  4 Ir 2.74, 4 Re 2.74, 4 Tc 2.75
Tc  0.5000  0.5000  0.0000  4 Re 2.74, 4 Ir 2.74, 4 Tc 2.75
Ir  0.2500  0.7500  0.5000  8 Tc 2.74, 4 Re 2.75


3.
Material: VCrCo
Method: DFT, PBE
State: relaxed

Output
D(E_F) (states/eV/f.u.): 2.73
Space group: I4mm, No. 107

Cell: 2.3814 2.3814 6.9145 Å, 99.92 99.92 90.00°
Last column: nearest neighbours and their distance in Å.
Fractional coordinates of all 3 atoms:
Co  0.9526  0.9526  0.9052  1 Cr 2.22, 1 V 2.33, 4 Co 2.38
V  0.7793  0.7793  0.5586  1 Co 2.33, 4 V 2.38
Cr  0.1181  0.1181  0.2362  1 Co 2.22, 4 Cr 2.38


We obtain ΔE_f values of 291 -33 173 kJ/mol of formula units for the records listed above, in that order.
We obtain distance to the lowest polymorph of the same formula values of 0.224 0.094 0.680 eV/atom for the records listed above, in that order.